No. 1
HgMoN2 | PBE | relaxed

Lattice parameters (Å, degrees): 6.088 6.088 6.088 60.00 60.00 60.00
Fractional positions:
Hg (0.125, 0.125, 0.125)
Hg (0.875, 0.875, 0.875)
Mo (0.375, 0.375, 0.375)
Mo (0.625, 0.625, 0.625)
N (0.000, 0.500, 0.500)
N (0.500, 0.000, 0.500)
N (0.500, 0.500, 0.000)
N (0.500, 0.500, 0.500)

Total energy in eV per atom: -6.94
Formation energy (no corrections) in meV/atom: 4

---

No. 2
HgMoN2 | PBE | relaxed

Lattice parameters (Å, degrees): 7.177 7.177 7.177 24.23 24.23 24.23
Fractional positions:
Hg (0.000, 0.000, 0.000)
Mo (0.500, 0.500, 0.500)
N (0.112, 0.112, 0.112)
N (0.888, 0.888, 0.888)

Total energy in eV per atom: -6.77
Formation energy (no corrections) in meV/atom: 179

---

No. 3
HgMo2N | PBE | relaxed

Lattice parameters (Å, degrees): 6.653 6.653 6.653 134.25 134.25 66.69
Fractional positions:
Hg (0.000, 0.000, 0.000)
Hg (0.750, 0.250, 0.500)
Mo (0.271, 0.625, 0.146)
Mo (0.375, 0.521, 0.646)
Mo (0.479, 0.125, 0.854)
Mo (0.875, 0.729, 0.354)
N (0.250, 0.750, 0.500)
N (0.500, 0.500, 0.000)

Total energy in eV per atom: -6.94
Energy above the lowest structure with this stoichiometry in kJ/mol of formula units: 0
Formation energy (no corrections) in meV/atom: 634